# PBE La2Mg2CdPd5, relaxed
# * ΔH_f (0 K): -547.2 meV/atom
data_La2Mg2CdPd5
_space_group_name_H-M_alt 'P 4/m b m'
_space_group_IT_number 127
_space_group_name_Hall '-P 4 2ab'
_cell_length_a 10.469
_cell_length_b 10.469
_cell_length_c 3.685
_cell_angle_alpha 90.00
_cell_angle_beta 90.00
_cell_angle_gamma 90.00
loop_
_atom_site_label
_atom_site_fract_x
_atom_site_fract_y
_atom_site_fract_z
La1 0.178 0.322 0.000
Mg1 0.121 0.621 0.000
Cd1 0.000 0.000 0.000
Pd1 0.000 0.500 0.500
Pd2 0.060 0.797 0.500

# PBE InPNCl2, relaxed
# * uncorrected formation energy: 0.354 eV per atom
# * relative energy among the computed polymorphs: 0 meV per atom
data_InPNCl2
_space_group_name_H-M_alt 'P 4/m m m'
_space_group_IT_number 123
_space_group_name_Hall '-P 4 2'
_cell_length_a 6.283
_cell_length_b 6.283
_cell_length_c 3.225
_cell_angle_alpha 90.00
_cell_angle_beta 90.00
_cell_angle_gamma 90.00
loop_
_atom_site_label
_atom_site_fract_x
_atom_site_fract_y
_atom_site_fract_z
In1 0.000 0.000 0.000
P1 0.500 0.500 0.000
N1 0.500 0.500 0.500
Cl1 0.000 0.500 0.500

# PBE ZnCrIrRh, relaxed
# * ΔH_f (0 K): -187.2 meV/atom
data_ZnCrIrRh
_space_group_name_H-M_alt 'F -4 3 m'
_space_group_IT_number 216
_space_group_name_Hall 'F -4 2 3'
_cell_length_a 6.038
_cell_length_b 6.038
_cell_length_c 6.038
_cell_angle_alpha 90.00
_cell_angle_beta 90.00
_cell_angle_gamma 90.00
loop_
_atom_site_label
_atom_site_fract_x
_atom_site_fract_y
_atom_site_fract_z
Zn1 0.000 0.000 0.000
Cr1 0.000 0.000 0.500
Ir1 0.250 0.250 0.750
Rh1 0.250 0.250 0.250